# 1
## CeSnGe4 (PBE-GGA)

Data for a geometry-optimized CeSnGe4 structure.

Results
The density of states at the Fermi level is 7.2 states/eV/cell. The value obtained for the final energy is -29.31 eV per cell. As for the space group: F-43m (216). The calculation puts the formation enthalpy at 0 K at -151 meV per atom.

Structure (POSCAR):
```
CeSnGe4
1.0
-1.0358 -2.2418 5.0971
-4.8556 -2.7577 0.9472
0.0226 -5.6230 0.6783
Ge Ce Sn
4 1 1
Cartesian
-3.6858 -3.8146 3.8669
-3.1520 -5.5200 1.6381
-1.2254 -5.2598 3.7312
-3.6744 -6.6507 4.2090
-1.4672 -2.6556 1.6806
0.0000 0.0000 0.0000
```



# 2
## Tb2CeZn2Ge2 (PBE-GGA)

Data for a geometry-optimized Tb2CeZn2Ge2 structure.

Results
The density of states at the Fermi level is 8.2 states/eV/cell. The value obtained for the final energy is -29.99 eV per cell. As for the space group: R-3m (166). The calculation puts the formation enthalpy at 0 K at -430 meV per atom.

Structure (POSCAR):
```
Tb2CeZn2Ge2
1.0
-0.6876 1.5154 -3.8125
-2.1833 -2.2204 -2.7582
-10.3778 4.5535 1.4122
Zn Tb Ge Ce
2 2 2 1
Cartesian
-3.5559 0.3646 -3.7526
-9.6928 3.4839 -1.4060
-6.8696 2.7703 0.0707
-6.3791 1.0782 -5.2292
-10.3793 3.1115 -3.6996
-2.8694 0.7371 -1.4590
0.0000 0.0000 0.0000
```



# 3
## HoErGeRu (PBE-GGA)

Data for a geometry-optimized HoErGeRu structure.

Results
The calculation puts the offset from the most stable computed form at 0.552 eV per formula unit. The density of states at the Fermi level is 2.2 states/eV/cell. The value obtained for the final energy is -25.04 eV per cell. As for the space group: F-43m (216). The calculation puts the formation enthalpy at 0 K at -503 meV per atom.

Structure (POSCAR):
```
HoErGeRu
1.0
-2.7092 3.9021 -1.1781
-0.5862 1.2442 -4.6970
-4.3467 -0.6028 -2.1671
Ge Ru Ho Er
1 1 1 1
Cartesian
-1.9105 1.1359 -2.0106
-5.7316 3.4076 -6.0317
0.0000 0.0000 0.0000
-3.8211 2.2717 -4.0211
```



# 4
## KSbS2O8 (PBE-GGA)

Data for a geometry-optimized KSbS2O8 structure.

Results
The calculation puts the offset from the most stable computed form at 0.211 eV per formula unit. The density of states at the Fermi level is 0.0 states/eV/cell. The value obtained for the final energy is -70.95 eV per cell. As for the space group: R-3 (148).

Structure (POSCAR):
```
KSbS2O8
1.0
5.1008 0.0000 0.0000
2.5504 4.4175 0.0000
2.5504 1.4725 8.2157
O K Sb S
8 1 1 2
Cartesian
8.3760 5.6318 6.8248
7.6513 4.4175 4.8415
8.3405 3.1827 6.8248
3.9644 1.4520 1.3909
2.5504 1.4725 3.3743
1.8612 2.7072 1.3909
6.2373 4.4379 6.8248
1.8257 0.2582 1.3909
5.1008 2.9450 4.1079
0.0000 0.0000 0.0000
2.5504 1.4725 1.9160
7.6513 4.4175 6.2998
```



# 5
## ZnCoPt3 (PBE-GGA)

Data for a geometry-optimized ZnCoPt3 structure.

Results
The density of states at the Fermi level is 4.8 states/eV/cell. The value obtained for the final energy is -22.37 eV per cell. As for the space group: Pm-3m (221). The calculation puts the formation enthalpy at 0 K at 827 meV per atom.

Structure (POSCAR):
```
ZnCoPt3
1.0
-1.5244 -0.5439 -4.2646
-4.0520 -1.3305 1.6181
-1.4368 4.3291 -0.0385
Pt Zn Co
3 1 1
Cartesian
-0.7184 2.1645 -0.0193
-0.7622 -0.2719 -2.1323
-2.0260 -0.6652 0.8090
-3.5066 1.2274 -1.3425
0.0000 0.0000 0.0000
```



# 6
## TiAl (PBE-GGA)

Data for a geometry-optimized TiAl structure.

Results
The density of states at the Fermi level is 7.7 states/eV/cell. The value obtained for the final energy is -45.62 eV per cell. As for the space group: P4_2/mnm (136). The calculation puts the formation enthalpy at 0 K at 116 meV per atom.

Structure (POSCAR):
```
TiAl
1.0
-0.7486 4.3507 -2.7306
1.2160 -2.5309 -4.3659
-5.1091 -1.2995 -0.6697
Al Ti
4 4
Cartesian
-0.1196 2.1473 -3.2542
0.5870 -0.3275 -3.8423
-2.1712 0.8428 -6.1553
-2.4705 -0.3225 -1.6109
0.0837 0.3260 -1.2712
-2.6728 1.4929 -3.5902
0.3837 1.4938 -5.8253
-1.9689 -0.9725 -4.1760
```



# 7
## VCuP3 (PBE-GGA)

Data for a geometry-optimized VCuP3 structure.

Results
The calculation puts the offset from the most stable computed form at 0.000 eV per formula unit. The density of states at the Fermi level is 4.5 states/eV/cell. The value obtained for the final energy is -26.77 eV per cell. As for the space group: Pm-3m (221). The calculation puts the formation enthalpy at 0 K at 536 meV per atom.

Structure (POSCAR):
```
VCuP3
1.0
4.5005 0.0000 0.0000
0.0000 4.5005 0.0000
0.0000 0.0000 4.5005
P Cu V
3 1 1
Cartesian
0.0000 2.2503 0.0000
2.2503 0.0000 0.0000
0.0000 0.0000 2.2503
2.2503 2.2503 2.2503
0.0000 0.0000 0.0000
```



# 8
## Rb2PbF (PBE-GGA)

Data for a geometry-optimized Rb2PbF structure.

Results
The calculation puts the offset from the most stable computed form at 1.637 eV per formula unit. The density of states at the Fermi level is 0.0 states/eV/cell. The value obtained for the final energy is -10.29 eV per cell. As for the space group: Fm-3m (225).

Structure (POSCAR):
```
Rb2PbF
1.0
0.0000 4.3331 4.3331
4.3331 0.0000 4.3331
4.3331 4.3331 0.0000
Pb Rb F
1 2 1
Cartesian
4.3331 4.3331 4.3331
6.4996 6.4996 6.4996
2.1665 2.1665 2.1665
0.0000 0.0000 0.0000
```



# 9
## CsBa2SrTl (PBE-GGA)

Data for a geometry-optimized CsBa2SrTl structure.

Results
The calculation puts the offset from the most stable computed form at 0.000 eV per formula unit. The density of states at the Fermi level is 6.8 states/eV/cell. The value obtained for the final energy is -8.99 eV per cell. As for the space group: P4/mmm (123). The calculation puts the formation enthalpy at 0 K at -49 meV per atom.

Structure (POSCAR):
```
CsBa2SrTl
1.0
6.9585 0.0000 0.0000
0.0000 6.9585 0.0000
0.0000 0.0000 6.7001
Ba Sr Cs Tl
2 1 1 1
Cartesian
3.4792 0.0000 0.0000
0.0000 3.4792 0.0000
0.0000 0.0000 3.3500
3.4792 3.4792 3.3500
0.0000 0.0000 0.0000
```



# 10
## MgScTlHg (PBE-GGA)

Data for a geometry-optimized MgScTlHg structure.

Results
The calculation puts the offset from the most stable computed form at 0.000 eV per formula unit. The density of states at the Fermi level is 1.5 states/eV/cell. The value obtained for the final energy is -11.68 eV per cell. As for the space group: Pmmm (47). The calculation puts the formation enthalpy at 0 K at -270 meV per atom.

Structure (POSCAR):
```
MgScTlHg
1.0
3.9928 0.0000 0.0000
0.0000 4.7877 0.0000
0.0000 0.0000 4.6776
Sc Hg Tl Mg
1 1 1 1
Cartesian
0.0000 0.0000 0.0000
1.9964 2.3939 0.0000
1.9964 0.0000 2.3388
0.0000 2.3939 2.3388
```



# 11
## Sm5Ge3 (PBE-GGA)

Data for a geometry-optimized Sm5Ge3 structure.

Results
The calculation puts the offset from the most stable computed form at 0.000 eV per formula unit. The density of states at the Fermi level is 13.6 states/eV/cell. The value obtained for the final energy is -86.78 eV per cell. As for the space group: P6_3/mcm (193). The calculation puts the formation enthalpy at 0 K at -743 meV per atom.

Structure (POSCAR):
```
Sm5Ge3
1.0
4.3624 -7.5559 0.0000
4.3624 7.5559 0.0000
0.0000 0.0000 6.6145
Ge Sm
6 10
Cartesian
1.7152 -2.9708 1.6536
3.4304 0.0000 4.9609
1.7152 2.9708 1.6536
5.2944 0.0000 1.6536
2.6472 4.5851 4.9609
2.6472 -4.5851 4.9609
1.0634 -1.8419 4.9609
3.2989 5.7139 1.6536
1.0634 1.8419 4.9609
2.1269 0.0000 1.6536
4.3624 2.5186 3.3072
4.3624 -2.5186 0.0000
4.3624 -2.5186 3.3072
3.2989 -5.7139 1.6536
4.3624 2.5186 0.0000
6.5979 0.0000 4.9609
```



# 12
## Ba2LiSb (PBE-GGA)

Data for a geometry-optimized Ba2LiSb structure.

Results
The density of states at the Fermi level is 8.2 states/eV/cell. The value obtained for the final energy is -22.10 eV per cell. As for the space group: I-42d (122).

Structure (POSCAR):
```
Ba2LiSb
1.0
-1.8797 -3.2315 8.7729
-4.8688 -7.3009 -3.7325
-0.0198 -7.4579 2.4316
Ba Li Sb
4 2 2
Cartesian
-2.4206 -9.3557 3.8097
-1.8366 -4.8798 5.8496
-6.0447 -14.9967 6.1383
-3.2347 -6.7486 -0.8535
-4.1314 -10.0125 0.6097
-3.3742 -5.2662 2.5202
-2.6369 -7.9779 6.8624
0.0000 0.0000 0.0000
```